No. 1
Rb4PrNp3Te8 (PBE-GGA, optimized geometry); raw formation energy = -23.05 kcal/mol of atoms; E = -5.537 eV per atom; magnetization = 3.9 μB/cell
1.0
-2.2404 8.9964 0.3768
-5.5582 -1.0357 -8.3191
-1.9477 -5.5704 7.1690
Te Rb Np Pr
8 4 3 1
direct
0.2660 0.3009 0.5320 Te
0.2367 0.7020 0.4734 Te
0.2356 0.7032 0.9661 Te
0.7633 0.2980 0.5266 Te
0.2695 0.2968 0.0339 Te
0.7305 0.7032 0.9661 Te
0.7340 0.6991 0.4680 Te
0.7644 0.2968 0.0339 Te
0.5000 0.0000 0.5000 Rb
0.0000 0.0000 0.0000 Rb
0.0000 0.0000 0.5000 Rb
0.5000 0.0000 0.0000 Rb
0.5000 0.5000 0.0000 Np
0.0000 0.5000 0.5000 Np
0.5000 0.5000 0.5000 Np
0.0000 0.5000 0.0000 Pr



No. 2
Rb3PrNp2Te6 (PBE-GGA, optimized geometry); raw formation energy = -24.28 kcal/mol of atoms; E = -5.421 eV per atom; magnetization = 8.0 μB/cell
1.0
-7.5951 -2.2681 -1.1754
6.0002 -4.9798 -1.8467
0.2757 -0.8245 8.9148
Te Np Rb Pr
6 2 3 1
direct
0.2722 0.2722 0.7980 Te
0.9323 0.5930 0.7972 Te
0.5930 0.9323 0.7972 Te
0.7278 0.7278 0.2020 Te
0.4070 0.0677 0.2028 Te
0.0677 0.4070 0.2028 Te
0.3331 0.6669 0.0000 Np
0.6669 0.3331 0.0000 Np
0.5000 0.5000 0.5000 Rb
0.1647 0.8353 0.5000 Rb
0.8353 0.1647 0.5000 Rb
0.0000 0.0000 0.0000 Pr



No. 3
PrNpRe4 (PBE-GGA, optimized geometry); E = -11.064 eV per atom; magnetization = 4.9 μB/cell; formation energy from the elements = 0.189 eV/atom
1.0
-0.5678 -5.4327 0.1833
4.1615 -3.1279 1.6639
-0.2626 -2.5590 4.8221
Re Np Pr
4 1 1
direct
0.6250 0.6250 0.6250 Re
0.6250 0.1251 0.6250 Re
0.1251 0.6250 0.6250 Re
0.6250 0.6250 0.1251 Re
0.2500 0.2500 0.2500 Np
0.0000 0.0000 0.0000 Pr



No. 4
PrNpRh2 (PBE-GGA, optimized geometry); energy above the lowest structure with this stoichiometry = 0.000 eV/atom; E = -8.566 eV per atom; magnetization = 3.1 μB/cell; formation energy from the elements = -0.460 eV/atom
1.0
4.4603 0.0000 0.0000
2.2302 3.8628 0.0000
2.2302 1.2876 5.2681
Rh Pr Np
2 1 1
direct
0.7145 0.7145 0.8565 Rh
0.2855 0.2855 0.1435 Rh
0.5000 0.5000 0.5000 Pr
0.0000 0.0000 0.0000 Np



No. 5
PrNpRh2 (PBE-GGA, optimized geometry); energy above the lowest structure with this stoichiometry = 0.124 eV/atom; E = -8.442 eV per atom; magnetization = 3.4 μB/cell; formation energy from the elements = -0.337 eV/atom
1.0
-3.7766 3.1367 -0.4493
-3.6657 -0.9899 -3.1443
-4.4520 -1.2404 1.7161
Rh Pr Np
2 1 1
direct
0.7500 0.7500 0.7500 Rh
0.2500 0.2500 0.2500 Rh
0.0000 0.0000 0.0000 Pr
0.5000 0.5000 0.5000 Np



No. 6
PrNpRh2 (PBE-GGA, optimized geometry); energy above the lowest structure with this stoichiometry = 0.070 eV/atom; E = -8.496 eV per atom; magnetization = 3.3 μB/cell; formation energy from the elements = -0.390 eV/atom
1.0
3.4373 0.0000 0.0000
0.0000 3.4373 0.0000
0.0000 0.0000 7.2090
Np Rh Pr
1 2 1
direct
0.5000 0.5000 0.0000 Np
0.0000 0.0000 0.2128 Rh
0.0000 0.0000 0.7872 Rh
0.5000 0.5000 0.5000 Pr



No. 7
Pr2NpSi3Rh12 (PBE-GGA, optimized geometry); raw formation energy = -4.72 kcal/mol of atoms; E = -7.259 eV per atom; magnetization = 0.6 μB/cell
1.0
7.6423 -0.2128 -0.1510
3.5891 6.7504 -0.1510
3.5891 2.0892 6.4208
Rh Np Pr Si
12 1 2 3
direct
0.3540 0.9007 0.3540 Rh
0.1350 0.1350 0.6187 Rh
0.6460 0.6460 0.0993 Rh
0.8650 0.8650 0.3813 Rh
0.9007 0.3540 0.3540 Rh
0.8650 0.3813 0.8650 Rh
0.6187 0.1350 0.1350 Rh
0.0993 0.6460 0.6460 Rh
0.3540 0.3540 0.9007 Rh
0.6460 0.0993 0.6460 Rh
0.1350 0.6187 0.1350 Rh
0.3813 0.8650 0.8650 Rh
0.0000 0.0000 0.0000 Np
0.6019 0.6019 0.6019 Pr
0.3981 0.3981 0.3981 Pr
0.5000 0.0000 0.0000 Si
0.0000 0.5000 0.0000 Si
0.0000 0.0000 0.5000 Si



No. 8
Pr2NpZn2Rh5 (PBE-GGA, optimized geometry); E = -6.703 eV per atom; magnetization = 5.5 μB/cell; formation energy from the elements = -0.523 eV/atom
1.0
-1.2008 0.0801 3.4979
5.1427 -8.3573 1.9569
7.9450 5.4982 2.6016
Pr Zn Rh Np
4 4 10 2
direct
0.0000 0.1713 0.3287 Pr
0.0000 0.3287 0.8287 Pr
0.0000 0.8287 0.6713 Pr
0.0000 0.6713 0.1713 Pr
0.0000 0.3758 0.1242 Zn
0.0000 0.8758 0.3758 Zn
0.0000 0.6242 0.8758 Zn
0.0000 0.1242 0.6242 Zn
0.5000 0.7977 0.9338 Rh
0.5000 0.7023 0.4338 Rh
0.5000 0.0662 0.7977 Rh
0.5000 0.2023 0.0662 Rh
0.5000 0.5000 0.0000 Rh
0.5000 0.4338 0.2977 Rh
0.5000 0.5662 0.7023 Rh
0.5000 0.0000 0.5000 Rh
0.5000 0.9338 0.2023 Rh
0.5000 0.2977 0.5662 Rh
0.0000 0.0000 0.0000 Np
0.0000 0.5000 0.5000 Np



no.,D(E_F) (states/eV/cell)
1,20.50
2,18.05
3,13.94
4,5.80
5,7.41
6,8.23
7,11.87
8,25.87